Ce2YMgTl4 PBE optimized geometry; SG = R-3m; total energy = -31.48 eV/cell
1.0
5.336 0.000 0.000
2.668 4.621 0.000
2.668 1.540 9.035
Ce Tl Y Mg
2 4 1 1
Direct
0.243 0.243 0.271
0.757 0.757 0.729
0.876 0.876 0.371
0.625 0.625 0.124
0.124 0.124 0.629
0.375 0.375 0.876
0.000 0.000 0.000
0.500 0.500 0.500

---

BiCl3F PBE optimized geometry; offset from the most stable computed form = 370 meV/atom; SG = Pm-3m; energy relative to the elements, uncorrected = -544.3 meV per atom
1.0
-3.138 -2.302 3.676
3.655 -3.846 0.712
2.334 2.927 3.826
F Cl Bi
1 3 1
Direct
0.500 0.500 0.500
0.500 0.000 0.000
0.000 0.000 0.500
0.000 0.500 0.000
0.000 0.000 0.000

---

LaMgPt2 PBE optimized geometry; SG = P4/mmm; total energy = -22.31 eV/cell
1.0
-1.230 0.857 3.121
1.515 -2.794 1.364
5.615 3.637 1.214
Pt La Mg
2 1 1
Direct
0.000 0.000 0.962
0.000 0.000 0.538
0.500 0.500 0.250
0.500 0.500 0.750

---

La6GeS2Br3 PBE optimized geometry; SG = C2/m; energy relative to the elements, uncorrected = -1596.4 meV per atom
1.0
-4.964 3.668 -3.951
5.473 -3.534 -3.356
-4.348 -6.133 2.037
S Br La Ge
2 3 6 1
Direct
0.668 0.332 0.000
0.332 0.668 0.000
0.500 0.500 0.500
0.840 0.160 0.500
0.160 0.840 0.500
0.929 0.586 0.788
0.414 0.071 0.212
0.586 0.929 0.788
0.071 0.414 0.212
0.274 0.274 0.791
0.726 0.726 0.209
0.000 0.000 0.000

---

Ho2Ag3SnS6 PBE optimized geometry; SG = C2/m; energy relative to the elements, uncorrected = -927.3 meV per atom
1.0
3.922 0.000 0.000
0.000 7.494 0.355
-1.961 -2.131 8.751
S Ag Sn Ho
6 3 1 2
Direct
0.991 0.736 0.981
0.677 0.590 0.354
0.344 0.923 0.688
0.656 0.077 0.312
0.009 0.264 0.019
0.323 0.410 0.646
0.500 0.500 0.000
0.810 0.156 0.621
0.190 0.844 0.379
0.500 0.000 0.000
0.167 0.335 0.334
0.833 0.665 0.666

---

Fe2Rh3 PBE optimized geometry; offset from the most stable computed form = 34 meV/atom; SG = R-3m
1.0
-4.154 1.229 -9.878
-6.498 1.137 -8.534
-5.181 3.483 -8.796
Rh Fe
3 2
Direct
0.798 0.798 0.798
0.202 0.202 0.202
0.000 0.000 0.000
0.600 0.600 0.600
0.400 0.400 0.400

---

Sr8CdN4 PBE optimized geometry; offset from the most stable computed form = 95 meV/atom; SG = F-43m; energy relative to the elements, uncorrected = -375.3 meV per atom
1.0
8.153 0.000 0.000
4.076 7.061 0.000
4.076 2.354 6.657
Sr N Cd
8 4 1
Direct
0.193 0.602 0.602
0.576 0.141 0.141
0.141 0.576 0.141
0.602 0.602 0.602
0.602 0.193 0.602
0.141 0.141 0.576
0.602 0.602 0.193
0.141 0.141 0.141
0.374 0.374 0.374
0.374 0.374 0.878
0.878 0.374 0.374
0.374 0.878 0.374
0.750 0.750 0.750

---

Li6Ag2Ir PBE optimized geometry; SG = Cm; total energy = -27.47 eV/cell
1.0
-1.395 1.643 1.545
1.322 -2.083 7.690
5.179 3.873 4.838
Ag Li Ir
2 6 1
Direct
0.333 0.333 0.333
0.667 0.667 0.667
0.810 0.678 0.000
0.503 0.678 0.322
0.503 0.322 0.678
0.187 0.322 0.000
0.187 0.000 0.322
0.810 0.000 0.678
0.000 0.000 0.000

---

Zr4CuRh PBE optimized geometry; offset from the most stable computed form = 812 meV/atom; SG = F-43m
1.0
4.886 0.553 2.635
0.301 2.944 4.729
0.860 -2.605 4.858
Zr Rh Cu
4 1 1
Direct
0.374 0.878 0.374
0.878 0.374 0.374
0.374 0.374 0.374
0.374 0.374 0.878
0.000 0.000 0.000
0.750 0.750 0.750

---

Pu2Si4OsPt3 PBE optimized geometry; SG = P-4m2; energy relative to the elements, uncorrected = -828.0 meV per atom
1.0
-1.369 -0.949 -3.825
1.906 -3.704 0.236
-8.234 -3.986 3.936
Pt Pu Si Os
3 2 4 1
Direct
0.000 0.500 0.126
0.000 0.000 0.500
0.500 0.000 0.874
0.000 0.500 0.754
0.500 0.000 0.246
0.000 0.000 0.000
0.000 0.500 0.369
0.500 0.000 0.631
0.500 0.500 0.000
0.500 0.500 0.500

---

Zn2InHgI PBE optimized geometry; SG = P4/mmm; energy relative to the elements, uncorrected = 147.3 meV per atom
1.0
-4.558 -2.852 0.271
1.233 -2.495 -5.521
2.656 -4.016 2.409
Hg Zn I In
1 2 1 1
Direct
0.500 0.500 0.500
0.000 0.000 0.500
0.500 0.000 0.000
0.000 0.500 0.000
0.000 0.000 0.000

---

Cd2AuN PBE optimized geometry; SG = I-42d; energy relative to the elements, uncorrected = 432.9 meV per atom
1.0
-0.057 3.883 4.421
-5.281 1.917 -1.751
-5.006 -0.687 4.455
N Cd Au
2 4 2
Direct
0.500 0.500 0.000
0.250 0.750 0.500
0.875 0.770 0.750
0.230 0.625 0.250
0.520 0.125 0.250
0.375 0.480 0.750
0.750 0.250 0.500
0.000 0.000 0.000